# 1
CdTc2Ru: optimized geometry, PBE.

## Properties
Its energy of formation is 0.432 eV per atom. As for the space-group type: Imm2. As for the raw total energy: -7.2989 eV/atom.

abc: 5.3320 5.3320 5.3320
angles: 147.34 127.90 62.86
Positions (direct):
Cd  0.0000  0.0000  0.0000
Tc  0.5074  0.5074  0.0000
Tc  0.7247  0.2247  0.5000
Ru  0.2727  0.7727  0.5000

***

# 2
Cr2SbRh2: optimized geometry, PBE.

## Properties
The formation energy (no corrections) is 0.209 eV/atom. As for the space-group type: I4/mmm. As for the raw total energy: -7.4053 eV/atom. As for the offset from the most stable computed form: 86 meV/atom.

abc: 5.7598 5.7598 5.7598
angles: 140.08 140.08 57.73
Positions (direct):
Cr  0.0979  0.0979  0.0000
Cr  0.9021  0.9021  0.0000
Sb  0.5000  0.5000  0.0000
Rh  0.2500  0.7500  0.5000
Rh  0.7500  0.2500  0.5000